Model i:
The following is a DFT calculation (PBE) of an optimized crystal structure of RbHCl.

Summary:
magnetic moment = 0.00 μB per atom

Geometry as CIF:
```
data_RbHCl
_chemical_formula_sum 'Rb4 H4 Cl4'
_space_group_name_H-M_alt 'C 1 m 1'
_space_group_IT_number 8
_cell_length_a 15.849
_cell_length_b 4.240
_cell_length_c 4.902
_cell_angle_alpha 90.00
_cell_angle_beta 90.02
_cell_angle_gamma 90.00
loop_
_space_group_symop_operation_xyz
'x,y,z'
'x,-y,z'
'x+1/2,y+1/2,z'
'x+1/2,-y+1/2,z'
loop_
_atom_site_label
_atom_site_type_symbol
_atom_site_fract_x
_atom_site_fract_y
_atom_site_fract_z
Rb1 Rb 0.000 0.000 0.000
Rb2 Rb 0.228 0.000 0.500
H1 H 0.352 0.000 0.076
H2 H 0.352 0.000 0.922
Cl1 Cl 0.172 0.500 0.000
Cl2 Cl 0.448 0.000 0.500
```

---

Model ii:
The following is a DFT calculation (PBE) of an optimized crystal structure of RbHCl.

Summary:
magnetic moment = 0.00 μB per atom

Geometry as CIF:
```
data_RbHCl
_chemical_formula_sum 'Rb4 H4 Cl4'
_space_group_name_H-M_alt 'P n m a'
_space_group_IT_number 62
_cell_length_a 8.352
_cell_length_b 5.763
_cell_length_c 5.765
_cell_angle_alpha 90.00
_cell_angle_beta 90.00
_cell_angle_gamma 90.00
loop_
_space_group_symop_operation_xyz
'x,y,z'
'-x,-y,-z'
'-x+1/2,-y,z+1/2'
'x+1/2,y,-z+1/2'
'x+1/2,-y+1/2,-z+1/2'
'-x+1/2,y+1/2,z+1/2'
'-x,y+1/2,-z'
'x,-y+1/2,z'
loop_
_atom_site_label
_atom_site_type_symbol
_atom_site_fract_x
_atom_site_fract_y
_atom_site_fract_z
Rb1 Rb 0.000 0.250 0.250
H1 H 0.002 0.250 0.749
Cl1 Cl 0.249 0.750 0.250
```

---

Model iii:
The following is a DFT calculation (PBE) of an optimized crystal structure of RbHCl.

Summary:
magnetic moment = 0.02 μB per atom

Geometry as CIF:
```
data_RbHCl
_chemical_formula_sum 'Rb4 H4 Cl4'
_space_group_name_H-M_alt 'P 1 21/c 1'
_space_group_IT_number 14
_cell_length_a 8.714
_cell_length_b 4.655
_cell_length_c 9.300
_cell_angle_alpha 90.00
_cell_angle_beta 91.11
_cell_angle_gamma 90.00
loop_
_space_group_symop_operation_xyz
'x,y,z'
'-x,-y,-z'
'-x,y+1/2,-z+1/2'
'x,-y+1/2,z+1/2'
loop_
_atom_site_label
_atom_site_type_symbol
_atom_site_fract_x
_atom_site_fract_y
_atom_site_fract_z
Rb1 Rb 0.191 0.248 0.128
H1 H 0.468 0.540 0.981
Cl1 Cl 0.188 0.747 0.376
```

---

Quick ranking, most stable first: model iii, model i, model ii.